# GGA-PBE NdMgF, optimized geometry
# formation energy without anion corrections	-1449	meV per atom
# crystal system	orthorhombic
# energy	-25.164	eV/cell
# D(E_F)	2.821	states/eV per cell
# calculated volume	140	Å³/cell
data_NdMgF
_chemical_formula_sum 'Nd2 Mg2 F2'
_cell_length_a 13.035
_cell_length_b 3.676
_cell_length_c 3.676
_cell_angle_alpha 52.48
_cell_angle_beta 90.00
_cell_angle_gamma 90.00
_symmetry_space_group_name_H-M 'P 1'
_symmetry_Int_Tables_number 1
loop_
_symmetry_equiv_pos_as_xyz
'x,y,z'
loop_
_atom_site_label
_atom_site_fract_x
_atom_site_fract_y
_atom_site_fract_z
_atom_site_occupancy
Nd1 0.213 0.000 0.000 1
Nd2 0.787 0.000 0.000 1
Mg1 0.000 0.298 0.298 1
Mg2 0.500 0.500 0.500 1
F1 0.404 0.001 0.001 1
F2 0.596 0.001 0.001 1


# GGA-PBE RbNdMgF6, optimized geometry
# formation energy without anion corrections	-3580	meV per atom
# crystal system	orthorhombic
# energy	-101.560	eV/cell
# D(E_F)	0.000	states/eV per cell
# calculated volume	299	Å³/cell
data_RbNdMgF6
_chemical_formula_sum 'Rb2 Nd2 Mg2 F12'
_cell_length_a 7.454
_cell_length_b 7.454
_cell_length_c 7.454
_cell_angle_alpha 120.67
_cell_angle_beta 116.06
_cell_angle_gamma 92.90
_symmetry_space_group_name_H-M 'P 1'
_symmetry_Int_Tables_number 1
loop_
_symmetry_equiv_pos_as_xyz
'x,y,z'
loop_
_atom_site_label
_atom_site_fract_x
_atom_site_fract_y
_atom_site_fract_z
_atom_site_occupancy
Rb1 0.336 0.086 0.250 1
Rb2 0.664 0.914 0.750 1
Nd1 0.000 0.500 0.500 1
Nd2 0.500 0.500 0.000 1
Mg1 0.000 0.000 0.500 1
Mg2 0.000 0.500 0.000 1
F1 0.050 0.346 0.164 1
F2 0.050 0.886 0.704 1
F3 0.077 0.327 0.750 1
F4 0.318 0.114 0.664 1
F5 0.318 0.654 0.204 1
F6 0.368 0.618 0.750 1
F7 0.632 0.382 0.250 1
F8 0.682 0.346 0.796 1
F9 0.682 0.886 0.336 1
F10 0.923 0.673 0.250 1
F11 0.950 0.114 0.296 1
F12 0.950 0.654 0.836 1


# GGA-PBE Rb2NdMg3F12, optimized geometry
# formation energy without anion corrections	-3266	meV per atom
# crystal system	trigonal
# energy	-92.724	eV/cell
# D(E_F)	13.296	states/eV per cell
# calculated volume	278	Å³/cell
data_Rb2NdMg3F12
_chemical_formula_sum 'Rb2 Nd1 Mg3 F12'
_cell_length_a 7.104
_cell_length_b 7.104
_cell_length_c 7.104
_cell_angle_alpha 64.32
_cell_angle_beta 64.32
_cell_angle_gamma 64.32
_symmetry_space_group_name_H-M 'P 1'
_symmetry_Int_Tables_number 1
loop_
_symmetry_equiv_pos_as_xyz
'x,y,z'
loop_
_atom_site_label
_atom_site_fract_x
_atom_site_fract_y
_atom_site_fract_z
_atom_site_occupancy
Rb1 0.107 0.107 0.107 1
Rb2 0.893 0.893 0.893 1
Nd1 0.500 0.500 0.500 1
Mg1 0.000 0.500 0.500 1
Mg2 0.500 0.000 0.500 1
Mg3 0.500 0.500 0.000 1
F1 0.109 0.625 0.625 1
F2 0.229 0.229 0.598 1
F3 0.229 0.598 0.229 1
F4 0.375 0.375 0.891 1
F5 0.375 0.891 0.375 1
F6 0.402 0.771 0.771 1
F7 0.598 0.229 0.229 1
F8 0.625 0.109 0.625 1
F9 0.625 0.625 0.109 1
F10 0.771 0.402 0.771 1
F11 0.771 0.771 0.402 1
F12 0.891 0.375 0.375 1